Record 1
VASP calculation (PBE-GGA) on a geometry-optimized Tb3CdHg structure.

Values from the calculation:
formation energy from the elements = -1.5 eV/f.u.
SG = Cmcm
offset from the most stable computed form = 0.00 eV/f.u.

Geometry as extended XYZ:
```
10
Lattice="-4.758 1.163 -1.895 -1.575 -4.921 0.934 -5.373 3.280 8.224" Properties=species:S:1:pos:R:3 pbc="T T T"
Tb -4.677 0.054 -0.222
Tb -6.941 2.094 6.715
Tb -5.811 1.076 3.254
Tb -3.092 -2.982 1.214
Tb -10.115 0.222 6.256
Tb -4.222 -1.964 4.675
Cd -6.026 -1.900 1.967
Cd -8.765 2.176 4.066
Hg -7.167 -0.873 5.461
Hg -2.866 -0.015 2.468
```

Record 2
VASP calculation (PBE-GGA) on a geometry-optimized LiCeAs structure.

Values from the calculation:
formation energy from the elements = -2.1 eV/f.u.
SG = R-3m
offset from the most stable computed form = 0.57 eV/f.u.

Geometry as extended XYZ:
```
6
Lattice="4.453 0.000 0.000 2.226 3.856 0.000 2.226 1.285 8.322" Properties=species:S:1:pos:R:3 pbc="T T T"
Li 4.453 2.571 0.850
Li 4.453 2.571 7.471
Ce 2.226 1.285 5.147
Ce 6.679 3.856 3.175
As 6.679 3.856 6.516
As 2.226 1.285 1.805
```

Record 3
VASP calculation (PBE-GGA) on a geometry-optimized CoAs2W structure.

Values from the calculation:
formation energy from the elements = 0.6 eV/f.u.
SG = Cm

Geometry as extended XYZ:
```
4
Lattice="4.660 0.005 0.017 3.551 3.017 0.017 1.009 0.371 4.196" Properties=species:S:1:pos:R:3 pbc="T T T"
As 0.986 0.363 3.946
As 2.337 0.860 1.367
Co 4.633 1.706 1.761
W 6.882 2.533 3.466
```

Record 4
VASP calculation (PBE-GGA) on a geometry-optimized TlCoH2 structure.

Values from the calculation:
SG = I-42d
offset from the most stable computed form = 0.00 eV/f.u.

Geometry as extended XYZ:
```
8
Lattice="5.794 0.000 0.000 0.000 5.794 0.000 2.897 2.897 2.653" Properties=species:S:1:pos:R:3 pbc="T T T"
H 2.541 1.448 0.663
H 3.253 4.345 0.663
H 4.345 6.149 1.990
H 7.242 5.438 1.990
Tl 0.000 0.000 0.000
Tl 5.794 2.897 1.326
Co 2.897 2.897 0.000
Co 2.897 5.794 1.326
```

Record 5
VASP calculation (PBE-GGA) on a geometry-optimized TlSb2Mo structure.

Values from the calculation:
SG = I-4m2
offset from the most stable computed form = 2.46 eV/f.u.
uncorrected formation energy = 0.6988 eV per atom

Geometry as extended XYZ:
```
4
Lattice="5.865 0.000 0.000 2.536 5.288 0.000 -4.201 -2.644 3.124" Properties=species:S:1:pos:R:3 pbc="T T T"
Mo 2.932 0.000 1.562
Sb 0.000 0.000 0.000
Sb 1.268 2.644 1.562
Tl 4.201 2.644 0.000
```

Record 6
VASP calculation (PBE-GGA) on a geometry-optimized Mn2AlRe structure.

Values from the calculation:
formation energy from the elements = -0.2 eV/f.u.
SG = Pm

Geometry as extended XYZ:
```
4
Lattice="4.235 0.000 0.000 0.000 2.629 -0.139 0.000 0.941 4.707" Properties=species:S:1:pos:R:3 pbc="T T T"
Re 0.000 1.770 2.171
Mn 0.000 1.096 4.594
Mn 2.117 0.791 1.225
Al 2.117 2.639 3.570
```

Record 7
VASP calculation (PBE-GGA) on a geometry-optimized TcRhAu structure.

Values from the calculation:
formation energy from the elements = 1.9 eV/f.u.
SG = F-43m
offset from the most stable computed form = 1.94 eV/f.u.

Geometry as extended XYZ:
```
3
Lattice="4.255 0.000 0.000 2.127 3.685 0.000 2.127 1.228 3.474" Properties=species:S:1:pos:R:3 pbc="T T T"
Au 4.255 2.457 1.737
Rh 6.382 3.685 2.606
Tc 0.000 0.000 0.000
```

Record 8
VASP calculation (PBE-GGA) on a geometry-optimized Na3Li4Pb4 structure.

Values from the calculation:
formation energy from the elements = -1.6 eV/f.u.
SG = Immm

Geometry as extended XYZ:
```
11
Lattice="4.958 0.000 0.000 0.000 7.490 0.000 -2.479 -3.745 7.940" Properties=species:S:1:pos:R:3 pbc="T T T"
Na 0.000 0.000 2.048
Na 2.479 3.745 5.892
Na 0.000 3.745 0.000
Li 0.000 3.745 3.209
Li 2.479 0.000 4.731
Li 2.479 5.929 0.000
Li 2.479 1.561 0.000
Pb 0.000 -1.579 5.183
Pb 2.479 2.166 2.757
Pb 2.479 5.324 2.757
Pb 0.000 1.579 5.183
```